{"formula": "As5Ir3Au", "functional": "PBE-GGA", "state": "optimized geometry", "magmom_total_mub_per_cell": 0.00, "spacegroup": "P6/mmm (191)", "final_energy_ha_per_atom": -0.2094, "lattice": [[-0.3322, 5.4604, 0.6573], [-2.2698, -3.3664, 3.7248], [6.0125, -0.0679, 3.6026]], "species": ["As", "As", "As", "As", "As", "Ir", "Ir", "Ir", "Au"], "frac_coords": [[0.6667, 0.3333, 0.2189], [0.6667, 0.3333, 0.7811], [0.0000, 0.0000, 0.5000], [0.3333, 0.6667, 0.2189], [0.3333, 0.6667, 0.7811], [0.5000, 0.5000, 0.5000], [0.0000, 0.5000, 0.5000], [0.5000, 0.0000, 0.5000], [0.0000, 0.0000, 0.0000]]}

***

{"formula": "LuAsIrAu", "functional": "PBE-GGA", "state": "optimized geometry", "magmom_total_mub_per_cell": 0.00, "spacegroup": "F-43m (216)", "polymorph_energy_ev_per_atom": 0.199, "final_energy_ha_per_atom": -0.2036, "lattice": [[0.0000, 3.3430, 3.3430], [3.3430, 0.0000, 3.3430], [3.3430, 3.3430, 0.0000]], "species": ["Lu", "Au", "As", "Ir"], "frac_coords": [[0.2500, 0.2500, 0.2500], [0.7500, 0.7500, 0.7500], [0.5000, 0.5000, 0.5000], [0.0000, 0.0000, 0.0000]]}

***

{"formula": "LuAsIrAu", "functional": "PBE-GGA", "state": "optimized geometry", "magmom_total_mub_per_cell": 0.00, "spacegroup": "F-43m (216)", "polymorph_energy_ev_per_atom": 0.072, "final_energy_ha_per_atom": -0.2083, "lattice": [[0.0000, 3.3327, 3.3327], [3.3327, 0.0000, 3.3327], [3.3327, 3.3327, 0.0000]], "species": ["As", "Lu", "Ir", "Au"], "frac_coords": [[0.0000, 0.0000, 0.0000], [0.5000, 0.5000, 0.5000], [0.2500, 0.2500, 0.2500], [0.7500, 0.7500, 0.7500]]}